VASP calculation (PBE) on a geometry-optimized NaHgSe structure.

Its space group is Fddd, No. 70. The calculation puts the offset from the most stable computed form at 0.151 eV per atom.

Cell and atoms, written as POSCAR:
```
NaHgSe
1.0
-6.6802 -0.7803 1.3758
-0.6863 -3.6497 -5.7737
5.2701 -4.3666 6.1708
Hg Se Na
4 4 4
direct
0.1250 0.8750 0.2500
0.6250 0.8750 0.7500
0.1250 0.8750 0.7500
0.1250 0.3750 0.2500
0.7250 0.7250 0.0000
0.5250 0.0250 0.5000
0.2750 0.2750 0.0000
0.9750 0.4750 0.5000
0.6403 0.6403 0.2807
0.3597 0.3597 0.7193
0.8903 0.3903 0.7807
0.6097 0.1097 0.2193
```